Entry 1:
VASP calculation (PBE) on Ni4Mo after structural relaxation.

Unit cell a=5.736 b=5.736 c=3.562 alpha=90.00 beta=90.00 gamma=90.00
Space group I4/m (No. 87)
One atom of each set of equivalent atoms:
Ni 0.099 0.301 0.000
Mo 0.000 0.000 0.500

Energy above the lowest structure with this stoichiometry in meV per atom: 0
DFT formation energy in eV/atom: -0.08
Total magnetic moment in Bohr magnetons per cell: 0.0

Entry 2:
VASP calculation (PBE) on SmAu4 after structural relaxation.

Unit cell a=5.515 b=5.515 c=5.515 alpha=90.00 beta=90.00 gamma=90.00
Space group Pm-3m (No. 221)
One atom of each set of equivalent atoms:
Sm 0.000 0.000 0.000
Au 0.000 0.000 0.500
Au 0.500 0.500 0.500

DFT formation energy in eV/atom: 0.68
Total magnetic moment in Bohr magnetons per cell: 0.0

Entry 3:
VASP calculation (PBE) on Y3Cu after structural relaxation.

Unit cell a=11.964 b=11.964 c=6.087 alpha=90.00 beta=90.00 gamma=90.00
Space group I-4 (No. 82)
One atom of each set of equivalent atoms:
Y 0.004 0.359 0.495
Y 0.093 0.900 0.257
Y 0.196 0.795 0.785
Cu 0.007 0.291 0.995

DFT formation energy in eV/atom: -0.03
Total magnetic moment in Bohr magnetons per cell: 3.3

Entry 4:
VASP calculation (PBE) on Rb2Ba2Ca after structural relaxation.

Unit cell a=5.788 b=5.788 c=22.022 alpha=90.00 beta=90.00 gamma=90.00
Space group I4/mmm (No. 139)
One atom of each set of equivalent atoms:
Rb 0.000 0.000 0.091
Ba 0.000 0.500 0.250
Ca 0.000 0.000 0.500

Energy above the lowest structure with this stoichiometry in meV per atom: 92
DFT formation energy in eV/atom: 0.38
Total magnetic moment in Bohr magnetons per cell: 0.0

Number 1: DFT total energy -6.8762 eV/atom. Number 2: DFT total energy -2.8893 eV/atom. Number 3: DFT total energy -5.8982 eV/atom. Number 4: DFT total energy -1.1758 eV/atom.